Entry 1:
# Nd6Ge3AsS2

A relaxed Nd6Ge3AsS2 crystal (PBE, Alexandria).

abc: 4.1891 8.5322 9.5033
angles: 104.30 102.73 90.00
Sites, in units of the cell vectors:
Nd 0.3331 0.9140 0.6661
Nd 0.6679 0.5801 0.3357
Nd 0.6669 0.0860 0.3339
Nd 0.0022 0.2491 0.0045
Nd 0.9978 0.7509 0.9955
Nd 0.3321 0.4199 0.6643
Ge 0.5000 0.5000 0.0000
Ge 0.8333 0.1692 0.6666
Ge 0.1667 0.8308 0.3334
As 0.5000 0.0000 0.0000
S 0.8323 0.6656 0.6646
S 0.1677 0.3344 0.3354

Summary:
The energy relative to the elements, uncorrected comes out at -1.33 eV/atom. Its space-group type is C2/m, No. 12. The value obtained for the total energy is -5.942 eV per atom.

***

Entry 2:
# Nd6GeAs3S2

A relaxed Nd6GeAs3S2 crystal (PBE, Alexandria).

abc: 4.2201 8.4384 9.4272
angles: 102.80 102.93 90.00
Sites, in units of the cell vectors:
Nd 0.3337 0.9170 0.6674
Nd 0.6664 0.5836 0.3327
Nd 0.6663 0.0830 0.3326
Nd 0.0012 0.2501 0.0024
Nd 0.9988 0.7499 0.9976
Nd 0.3336 0.4164 0.6673
Ge 0.5000 0.0000 0.0000
As 0.5000 0.5000 0.0000
As 0.8325 0.1687 0.6650
As 0.1675 0.8313 0.3350
S 0.8314 0.6630 0.6628
S 0.1686 0.3370 0.3372

Summary:
The energy relative to the elements, uncorrected comes out at -1.60 eV/atom. Its space-group type is C2/m, No. 12. The value obtained for the total energy is -6.217 eV per atom.

***

Among the records above, which one has the highest energy relative to the elements, uncorrected? Nd6Ge3AsS2

***

Which value of energy relative to the elements, uncorrected does entry 2 give? -1.60 eV/atom